[1]
This record from Alexandria describes Sm3AlSi2 after structural relaxation. The functional is PBE-GGA.

The value obtained for the final energy is -5.422 eV per atom.

The space group is Pnma (No. 62) and the conventional cell measures 11.771, 4.204 and 11.869 Å, with angles of 90.00, 90.00 and 90.00 degrees. Symmetry generates all atoms from Sm at (0.059, 0.250, 0.118), Sm at (0.124, 0.750, 0.562), Sm at (0.197, 0.250, 0.798), Al at (0.134, 0.250, 0.368), Si at (0.027, 0.750, 0.316) and Si at (0.189, 0.750, 0.990).



[2]
This record from Alexandria describes Sm3Al2Si4 after structural relaxation. The functional is PBE-GGA.

The calculation puts the relative energy among the computed polymorphs at 0.000 eV per atom.

The space group is C2/m (No. 12) and the conventional cell measures 10.902, 4.211 and 8.264 Å, with angles of 90.00, 101.77 and 90.00 degrees. Symmetry generates all atoms from Sm at (0.000, 0.000, 0.000), Sm at (0.165, 0.500, 0.671), Al at (0.112, 0.500, 0.276), Si at (0.058, 0.000, 0.392) and Si at (0.221, 0.500, 0.049).



[3]
This record from Alexandria describes Sm3AlSi3 after structural relaxation. The functional is PBE-GGA.

The value obtained for the final energy is -5.594 eV per atom.

The space group is Imm2 (No. 44) and the conventional cell measures 3.977, 4.343 and 18.253 Å, with angles of 90.00, 90.00 and 90.00 degrees. Symmetry generates all atoms from Sm at (0.000, 0.000, 0.000), Sm at (0.000, 0.000, 0.370), Sm at (0.000, 0.500, 0.691), Al at (0.000, 0.500, 0.120), Si at (0.000, 0.000, 0.540), Si at (0.000, 0.000, 0.833) and Si at (0.000, 0.500, 0.254).